[1]
{
  "formula": "Pr8Sm3Dy4",
  "functional": "PBE-GGA",
  "state": "relaxed",
  "polymorph_energy_mev_per_atom": 0.0,
  "crystal_system": "trigonal",
  "volume_a3_per_atom": 35.0,
  "total_magnetization_mub_per_fu": 0.00,
  "cell": [[6.242, 0.000, 3.367], [2.213, 5.837, 3.367], [-2.625, -1.812, 12.337]],
  "species": ["Pr", "Pr", "Pr", "Pr", "Pr", "Pr", "Pr", "Pr", "Dy", "Dy", "Dy", "Dy", "Sm", "Sm", "Sm"],
  "frac_coords": [[0.249, 0.249, 0.752], [0.249, 0.750, 0.752], [0.250, 0.751, 0.248], [0.751, 0.751, 0.248], [0.754, 0.754, 0.739], [0.750, 0.249, 0.752], [0.751, 0.250, 0.248], [0.246, 0.246, 0.261], [0.335, 0.335, 0.994], [0.500, 0.500, 0.500], [0.665, 0.665, 0.006], [0.000, 0.000, 0.000], [0.500, 0.000, 0.500], [0.000, 0.000, 0.500], [0.000, 0.500, 0.500]]
}

[2]
{
  "formula": "PrSm6Dy",
  "functional": "PBE-GGA",
  "state": "relaxed",
  "polymorph_energy_mev_per_atom": 0.0,
  "crystal_system": "tetragonal",
  "volume_a3_per_atom": 33.7,
  "total_magnetization_mub_per_fu": 0.00,
  "cell": [[-0.209, 0.369, -5.109], [3.603, -3.624, -0.409], [-7.286, -7.219, -0.224]],
  "species": ["Sm", "Sm", "Sm", "Sm", "Sm", "Sm", "Pr", "Dy"],
  "frac_coords": [[0.500, 0.000, 0.253], [0.000, 0.500, 0.253], [0.500, 0.500, 0.500], [0.500, 0.000, 0.747], [0.500, 0.500, 0.000], [0.000, 0.500, 0.747], [0.000, 0.000, 0.000], [0.000, 0.000, 0.500]]
}

[3]
{
  "formula": "PrSm4Dy15",
  "functional": "PBE-GGA",
  "state": "relaxed",
  "crystal_system": "tetragonal",
  "volume_a3_per_atom": 32.1,
  "total_magnetization_mub_per_fu": 0.00,
  "cell": [[-1.624, 2.766, -3.899], [-3.345, -3.599, -1.160], [-17.035, 11.025, 14.918]],
  "species": ["Dy", "Dy", "Dy", "Dy", "Dy", "Dy", "Dy", "Dy", "Dy", "Dy", "Dy", "Dy", "Dy", "Dy", "Dy", "Sm", "Sm", "Sm", "Sm", "Pr"],
  "frac_coords": [[0.500, 0.500, 0.000], [0.500, 0.000, 0.101], [0.000, 0.500, 0.500], [0.500, 0.000, 0.700], [0.000, 0.500, 0.101], [0.000, 0.500, 0.700], [0.500, 0.000, 0.899], [0.000, 0.500, 0.300], [0.500, 0.500, 0.400], [0.500, 0.500, 0.201], [0.500, 0.500, 0.600], [0.500, 0.500, 0.799], [0.500, 0.000, 0.500], [0.500, 0.000, 0.300], [0.000, 0.500, 0.899], [0.000, 0.000, 0.400], [0.000, 0.000, 0.200], [0.000, 0.000, 0.600], [0.000, 0.000, 0.800], [0.000, 0.000, 0.000]]
}

[4]
{
  "formula": "Pr5Sm4Dy2",
  "functional": "PBE-GGA",
  "state": "relaxed",
  "polymorph_energy_mev_per_atom": 136.0,
  "crystal_system": "orthorhombic",
  "volume_a3_per_atom": 35.9,
  "total_magnetization_mub_per_fu": 0.00,
  "cell": [[-2.411, 0.883, -2.457], [-6.889, -1.350, 6.276], [5.434, 11.531, 1.381]],
  "species": ["Pr", "Pr", "Pr", "Pr", "Pr", "Sm", "Sm", "Sm", "Sm", "Dy", "Dy"],
  "frac_coords": [[0.500, 0.000, 0.000], [0.850, 0.054, 0.701], [0.150, 0.946, 0.299], [0.150, 0.354, 0.299], [0.850, 0.646, 0.701], [0.404, 0.404, 0.807], [0.000, 0.696, 0.000], [0.000, 0.304, 0.000], [0.596, 0.596, 0.193], [0.270, 0.270, 0.540], [0.730, 0.730, 0.460]]
}

[5]
{
  "formula": "Pr3SmDy6",
  "functional": "PBE-GGA",
  "state": "relaxed",
  "polymorph_energy_mev_per_atom": 79.1,
  "crystal_system": "monoclinic",
  "volume_a3_per_atom": 34.1,
  "total_magnetization_mub_per_fu": 0.00,
  "cell": [[-2.399, -3.062, -5.352], [6.806, 4.337, -5.532], [2.742, -3.605, 4.923]],
  "species": ["Dy", "Dy", "Dy", "Dy", "Dy", "Dy", "Pr", "Pr", "Pr", "Sm"],
  "frac_coords": [[0.440, 0.313, 0.371], [0.069, 0.687, 0.629], [0.636, 0.920, 0.273], [0.364, 0.080, 0.727], [0.560, 0.687, 0.629], [0.931, 0.313, 0.371], [0.930, 0.301, 0.859], [0.070, 0.699, 0.141], [0.000, 0.000, 0.000], [0.500, 0.500, 0.000]]
}

[6]
{
  "formula": "PrSm5Dy5",
  "functional": "PBE-GGA",
  "state": "relaxed",
  "polymorph_energy_mev_per_atom": 22.5,
  "crystal_system": "hexagonal",
  "volume_a3_per_atom": 34.3,
  "total_magnetization_mub_per_fu": 0.00,
  "cell": [[6.155, 0.000, 0.000], [-3.078, 5.330, 0.000], [0.000, 0.000, 11.508]],
  "species": ["Pr", "Sm", "Sm", "Sm", "Sm", "Sm", "Dy", "Dy", "Dy", "Dy", "Dy"],
  "frac_coords": [[0.333, 0.667, 0.000], [0.830, 0.170, 0.500], [0.000, 0.000, 0.264], [0.000, 0.000, 0.736], [0.339, 0.170, 0.500], [0.830, 0.661, 0.500], [0.667, 0.333, 0.840], [0.333, 0.667, 0.671], [0.333, 0.667, 0.329], [0.667, 0.333, 0.160], [0.000, 0.000, 0.000]]
}

[7]
{
  "formula": "PrSm3Dy12",
  "functional": "PBE-GGA",
  "state": "relaxed",
  "crystal_system": "tetragonal",
  "volume_a3_per_atom": 32.1,
  "total_magnetization_mub_per_fu": 0.00,
  "cell": [[5.046, 0.000, 0.000], [0.000, 5.046, 0.000], [0.000, 0.000, 20.181]],
  "species": ["Dy", "Dy", "Dy", "Dy", "Dy", "Dy", "Dy", "Dy", "Dy", "Dy", "Dy", "Dy", "Pr", "Sm", "Sm", "Sm"],
  "frac_coords": [[0.000, 0.500, 0.375], [0.500, 0.000, 0.126], [0.500, 0.000, 0.874], [0.500, 0.000, 0.625], [0.000, 0.500, 0.126], [0.000, 0.500, 0.874], [0.500, 0.500, 0.000], [0.000, 0.500, 0.625], [0.500, 0.500, 0.749], [0.500, 0.500, 0.500], [0.500, 0.000, 0.375], [0.500, 0.500, 0.251], [0.000, 0.000, 0.000], [0.000, 0.000, 0.251], [0.000, 0.000, 0.749], [0.000, 0.000, 0.500]]
}

[8]
{
  "formula": "Pr3Sm3Dy5",
  "functional": "PBE-GGA",
  "state": "relaxed",
  "crystal_system": "hexagonal",
  "volume_a3_per_atom": 40.9,
  "total_magnetization_mub_per_fu": 0.00,
  "cell": [[5.562, 0.000, 0.000], [0.000, 9.663, 0.000], [0.000, -4.832, 8.369]],
  "species": ["Dy", "Dy", "Dy", "Dy", "Dy", "Sm", "Sm", "Sm", "Pr", "Pr", "Pr"],
  "frac_coords": [[0.500, 0.000, 0.731], [0.500, 0.667, 0.333], [0.500, 0.333, 0.667], [0.500, 0.731, 0.000], [0.500, 0.269, 0.269], [0.000, 0.466, 0.466], [0.000, 0.534, 0.000], [0.000, 0.000, 0.534], [0.500, 0.634, 0.634], [0.500, 0.000, 0.366], [0.500, 0.366, 0.000]]
}

[9]
{
  "formula": "Pr14SmDy",
  "functional": "PBE-GGA",
  "state": "relaxed",
  "crystal_system": "tetragonal",
  "volume_a3_per_atom": 35.7,
  "total_magnetization_mub_per_fu": 0.00,
  "cell": [[-4.681, -5.263, 2.229], [4.883, -2.185, 5.096], [-4.212, 6.667, 6.895]],
  "species": ["Pr", "Pr", "Pr", "Pr", "Pr", "Pr", "Pr", "Pr", "Pr", "Pr", "Pr", "Pr", "Pr", "Pr", "Sm", "Dy"],
  "frac_coords": [[0.624, 0.874, 0.752], [0.375, 0.125, 0.000], [0.375, 0.125, 0.500], [0.875, 0.625, 0.500], [0.624, 0.376, 0.752], [0.875, 0.125, 0.500], [0.126, 0.874, 0.752], [0.126, 0.874, 0.248], [0.375, 0.625, 0.500], [0.624, 0.874, 0.248], [0.126, 0.376, 0.752], [0.624, 0.376, 0.248], [0.875, 0.625, 0.000], [0.126, 0.376, 0.248], [0.875, 0.125, 0.000], [0.375, 0.625, 0.000]]
}

[10]
{
  "formula": "Pr12Sm6Dy",
  "functional": "PBE-GGA",
  "state": "relaxed",
  "polymorph_energy_mev_per_atom": 0.0,
  "crystal_system": "trigonal",
  "volume_a3_per_atom": 35.8,
  "total_magnetization_mub_per_fu": 0.00,
  "cell": [[-1.990, -5.125, 6.864], [-5.279, -4.922, -5.025], [6.654, -5.415, -1.934]],
  "species": ["Pr", "Pr", "Pr", "Pr", "Pr", "Pr", "Pr", "Pr", "Pr", "Pr", "Pr", "Pr", "Sm", "Sm", "Sm", "Sm", "Sm", "Sm", "Dy"],
  "frac_coords": [[0.018, 0.192, 0.361], [0.219, 0.464, 0.566], [0.808, 0.639, 0.982], [0.434, 0.781, 0.536], [0.361, 0.018, 0.192], [0.192, 0.361, 0.018], [0.536, 0.434, 0.781], [0.781, 0.536, 0.434], [0.566, 0.219, 0.464], [0.464, 0.566, 0.219], [0.639, 0.982, 0.808], [0.982, 0.808, 0.639], [0.702, 0.261, 0.097], [0.739, 0.903, 0.298], [0.097, 0.702, 0.261], [0.261, 0.097, 0.702], [0.903, 0.298, 0.739], [0.298, 0.739, 0.903], [0.000, 0.000, 0.000]]
}

[11]
{
  "formula": "PrSm6Dy2",
  "functional": "PBE-GGA",
  "state": "relaxed",
  "polymorph_energy_mev_per_atom": 186.3,
  "crystal_system": "monoclinic",
  "volume_a3_per_atom": 34.0,
  "total_magnetization_mub_per_fu": 0.93,
  "cell": [[-3.416, -0.229, -5.143], [5.993, -2.496, -3.867], [1.321, -7.420, -0.545]],
  "species": ["Sm", "Sm", "Sm", "Sm", "Sm", "Sm", "Pr", "Dy", "Dy"],
  "frac_coords": [[0.292, 0.376, 0.813], [0.291, 0.813, 0.813], [0.708, 0.624, 0.187], [0.708, 0.187, 0.624], [0.292, 0.813, 0.376], [0.709, 0.187, 0.187], [0.000, 0.000, 0.000], [0.784, 0.666, 0.666], [0.216, 0.334, 0.334]]
}

[12]
{
  "formula": "Pr5Sm12Dy2",
  "functional": "PBE-GGA",
  "state": "relaxed",
  "polymorph_energy_mev_per_atom": 0.0,
  "crystal_system": "monoclinic",
  "volume_a3_per_atom": 35.4,
  "total_magnetization_mub_per_fu": 0.00,
  "cell": [[5.013, 0.076, 1.234], [0.396, 11.060, 8.456], [-0.765, 2.323, 13.712]],
  "species": ["Sm", "Sm", "Sm", "Sm", "Sm", "Sm", "Sm", "Sm", "Sm", "Sm", "Sm", "Sm", "Pr", "Pr", "Pr", "Pr", "Pr", "Dy", "Dy"],
  "frac_coords": [[0.901, 0.598, 0.598], [0.197, 0.551, 0.055], [0.099, 0.901, 0.901], [0.197, 0.055, 0.551], [0.099, 0.402, 0.402], [0.597, 0.649, 0.157], [0.597, 0.157, 0.649], [0.901, 0.099, 0.099], [0.803, 0.945, 0.449], [0.403, 0.351, 0.843], [0.403, 0.843, 0.351], [0.803, 0.449, 0.945], [0.301, 0.699, 0.699], [0.699, 0.802, 0.802], [0.699, 0.301, 0.301], [0.500, 0.000, 0.000], [0.301, 0.198, 0.198], [0.000, 0.760, 0.239], [0.000, 0.240, 0.761]]
}

no.,ΔE_f (eV per formula unit)
1,2.35
2,0.15
3,0.37
4,2.32
5,2.26
6,3.52
7,0.31
8,8.45
9,0.20
10,2.37
11,1.82
12,2.14